Below is an optimized crystal structure of Sm5U2Ru5, with properties calculated at the PBE-GGA level.

a = 5.024 Å, b = 5.223 Å, c = 11.822 Å
α = 101.49°, β = 90.51°, γ = 109.16°
Space group P-1 (No. 2)
Asymmetric unit:
Sm: 0.000 0.000 0.000 [1 per cell]
Sm: 0.190 0.361 0.546 [2 per cell]
Sm: 0.300 0.538 0.849 [2 per cell]
U: 0.304 0.937 0.289 [2 per cell]
Ru: 0.103 0.922 0.701 [2 per cell]
Ru: 0.402 0.809 0.098 [2 per cell]
Ru: 0.500 0.000 0.500 [1 per cell]

Output
Uncorrected energy, eV per atom: -7.87
D(E_F), states/eV/cell: 15.1
DFT formation energy, eV per atom: -0.155
Crystal system: triclinic